No. 1
Compound: NaCd2SiC
Source: the Alexandria database
Functional: PBE
Structure: optimized geometry

Lattice parameters (Å, degrees): 4.501 4.909 4.501 90.00 90.00 90.00
Sites, in units of the cell vectors:
Na 0.000 0.500 0.000
Si 0.500 0.500 0.500
C 0.000 0.000 0.000
Cd 0.000 0.000 0.500
Cd 0.500 0.000 0.000

## Properties
Space-group type   No. 123
Raw formation energy   90.0 kJ/mol of atoms
Total magnetization   0.000 μB/cell


No. 2
Compound: NaTlCd2C
Source: the Alexandria database
Functional: PBE
Structure: optimized geometry

Lattice parameters (Å, degrees): 4.621 5.190 4.621 90.00 90.00 90.00
Sites, in units of the cell vectors:
Na 0.000 0.500 0.000
Tl 0.500 0.500 0.500
C 0.000 0.000 0.000
Cd 0.000 0.000 0.500
Cd 0.500 0.000 0.000

## Properties
Space-group type   No. 123
Energy of formation   615 meV per atom
Total magnetization   0.000 μB/cell


No. 3
Compound: NaVCd2C
Source: the Alexandria database
Functional: PBE
Structure: optimized geometry

Lattice parameters (Å, degrees): 4.805 4.019 4.805 90.00 90.00 90.00
Each line ends with the local moment (μB).
Sites, in units of the cell vectors:
Na 0.500 0.500 0.500  -0.01
C 0.000 0.000 0.000  -0.08
V 0.000 0.500 0.000  1.54
Cd 0.000 0.000 0.500  -0.03
Cd 0.500 0.000 0.000  -0.01

## Properties
Space-group type   No. 123
Energy of formation   578 meV per atom
Total magnetization   1.583 μB/cell


No. 4
Compound: NbCdC3
Source: the Alexandria database
Functional: PBE
Structure: optimized geometry

Lattice parameters (Å, degrees): 4.103 4.103 4.103 90.00 90.00 90.00
Sites, in units of the cell vectors:
Nb 0.500 0.500 0.500
C 0.000 0.500 0.000
C 0.000 0.000 0.500
C 0.500 0.000 0.000
Cd 0.000 0.000 0.000

## Properties
Space-group type   No. 221
Energy relative to the lowest polymorph listed for this composition   1226 meV/atom
Energy of formation   3102 meV per atom
Total magnetization   0.000 μB/cell


No. 5
Compound: NbCdC2
Source: the Alexandria database
Functional: PBE
Structure: optimized geometry

Lattice parameters (Å, degrees): 5.176 5.176 6.020 64.54 64.54 90.00
Sites, in units of the cell vectors:
Nb 0.500 0.500 0.000
Nb 0.250 0.750 0.500
C 0.580 0.125 0.250
C 0.170 0.625 0.250
C 0.375 0.420 0.750
C 0.875 0.830 0.750
Cd 0.000 0.000 0.000
Cd 0.750 0.250 0.500

## Properties
Space-group type   No. 122
Energy of formation   853 meV per atom
Total magnetization   0.000 μB/cell


No. 6
Compound: NbCd2C
Source: the Alexandria database
Functional: PBE
Structure: optimized geometry

Lattice parameters (Å, degrees): 8.027 8.027 6.098 48.84 48.84 90.00
Sites, in units of the cell vectors:
Nb 0.000 0.000 0.000
Nb 0.750 0.250 0.500
C 0.500 0.500 0.000
C 0.250 0.750 0.500
Cd 0.529 0.125 0.250
Cd 0.221 0.625 0.250
Cd 0.375 0.471 0.750
Cd 0.875 0.779 0.750

## Properties
Space-group type   No. 122
Energy of formation   855 meV per atom
Total magnetization   0.000 μB/cell


No. 7
Compound: Nb3CdC
Source: the Alexandria database
Functional: PBE
Structure: optimized geometry

Lattice parameters (Å, degrees): 4.357 4.357 4.357 90.00 90.00 90.00
Sites, in units of the cell vectors:
Nb 0.000 0.500 0.000
Nb 0.000 0.000 0.500
Nb 0.500 0.000 0.000
C 0.000 0.000 0.000
Cd 0.500 0.500 0.500

## Properties
Space-group type   No. 221
Energy relative to the lowest polymorph listed for this composition   0 meV/atom
Energy of formation   -76 meV per atom
Total magnetization   0.000 μB/cell


No. 8
Compound: Nb3CdC
Source: the Alexandria database
Functional: PBE
Structure: optimized geometry

Lattice parameters (Å, degrees): 4.969 4.969 4.969 90.00 90.00 90.00
Sites, in units of the cell vectors:
Nb 0.000 0.500 0.000
Nb 0.000 0.000 0.500
Nb 0.500 0.000 0.000
C 0.500 0.500 0.500
Cd 0.000 0.000 0.000

## Properties
Space-group type   No. 221
Energy relative to the lowest polymorph listed for this composition   3277 meV/atom
Energy of formation   3201 meV per atom
Total magnetization   0.000 μB/cell


What did the fifth record say?
Compound: NbCdC2
Source: the Alexandria database
Functional: PBE
Structure: optimized geometry

Lattice parameters (Å, degrees): 5.176 5.176 6.020 64.54 64.54 90.00
Sites, in units of the cell vectors:
Nb 0.500 0.500 0.000
Nb 0.250 0.750 0.500
C 0.580 0.125 0.250
C 0.170 0.625 0.250
C 0.375 0.420 0.750
C 0.875 0.830 0.750
Cd 0.000 0.000 0.000
Cd 0.750 0.250 0.500

## Properties
Space-group type   No. 122
Energy of formation   853 meV per atom
Total magnetization   0.000 μB/cell


- The highest total magnetization belongs to which entry?
  NaVCd2C